Below is an optimized crystal structure of Tb7As5P, with properties calculated at the GGA-PBE level.

Values from the calculation:
* space-group type: Cmcm (63)
* ΔE_f: -1.391 eV/atom
* M_tot: 0.7 μB per formula unit

abc: 7.0821 7.0821 23.9982
angles: 90.00 90.00 146.51
Fractional positions:
1 Tb 0.0574 0.9426 0.7500
2 Tb 0.1370 0.8630 0.0361
3 Tb 0.1370 0.8630 0.4639
4 Tb 0.3163 0.6837 0.6786
5 Tb 0.3163 0.6837 0.8214
6 Tb 0.4121 0.5879 0.1065
7 Tb 0.4121 0.5879 0.3935
8 Tb 0.5879 0.4121 0.6065
9 Tb 0.5879 0.4121 0.8935
10 Tb 0.6837 0.3163 0.1786
11 Tb 0.6837 0.3163 0.3214
12 Tb 0.8630 0.1370 0.5361
13 Tb 0.8630 0.1370 0.9639
14 Tb 0.9426 0.0574 0.2500
15 As 0.0460 0.9540 0.1480
16 As 0.0460 0.9540 0.3520
17 As 0.2266 0.7734 0.5744
18 As 0.2266 0.7734 0.9256
19 As 0.5000 0.5000 0.0000
20 As 0.5000 0.5000 0.5000
21 As 0.7734 0.2266 0.0744
22 As 0.7734 0.2266 0.4256
23 As 0.9540 0.0460 0.6480
24 As 0.9540 0.0460 0.8520
25 P 0.2978 0.7022 0.2500
26 P 0.7022 0.2978 0.7500